No. 1
Computed, not measured: a relaxed structure of H2AuIBr at the PBE level of DFT.

Its magnetic moment is 0.000 μB/atom. As for the total energy: -2.16 eV/atom.

Cell and atoms, written as POSCAR:
```
H2AuIBr
1.0
-0.5474 3.7675 -1.2496
1.9569 -1.7768 -6.2143
-3.7957 -0.8659 -0.9477
I H Au Br
1 2 1 1
Direct
0.0000 0.5000 0.0000 I
0.0000 0.0000 0.5000 H
0.5000 0.0000 0.0000 H
0.0000 0.0000 0.0000 Au
0.5000 0.5000 0.5000 Br
```

---

No. 2
Computed, not measured: a relaxed structure of GeOsO3 at the PBE level of DFT.

Its magnetic moment is 0.832 μB/atom. As for the total energy: -6.02 eV/atom. The value obtained for the uncorrected formation energy is 125 meV/atom.

Cell and atoms, written as POSCAR:
```
GeOsO3
1.0
-0.4149 -2.9193 -2.3461
3.2608 -1.4426 1.2185
-1.8422 -1.8961 2.6851
Ge Os O
1 1 3
Direct
0.0000 0.0000 0.0000 Ge
0.5000 0.5000 0.5000 Os
0.0000 0.5000 0.0000 O
0.0000 0.0000 0.5000 O
0.5000 0.0000 0.0000 O
```

---

No. 3
Computed, not measured: a relaxed structure of BeNbTc2Ni at the PBE level of DFT.

The formation energy from the elements comes out at 1854 meV/atom. Its magnetic moment is 0.500 μB/atom. As for the total energy: -6.21 eV/atom.

Cell and atoms, written as POSCAR:
```
BeNbTc2Ni
1.0
-0.5290 0.0012 -4.6669
4.2133 -1.5980 -0.4780
-1.6459 -4.3950 0.1855
Ni Nb Tc Be
1 1 2 1
Direct
0.0000 0.5000 0.0000 Ni
0.0000 0.0000 0.0000 Nb
0.0000 0.0000 0.5000 Tc
0.5000 0.0000 0.0000 Tc
0.5000 0.5000 0.5000 Be
```

---

No. 4
Computed, not measured: a relaxed structure of RbGe3Se at the PBE level of DFT.

Its magnetic moment is 0.333 μB/atom. As for the total energy: -1.86 eV/atom. The value obtained for the uncorrected formation energy is 1802 meV/atom. The energy above the most stable polymorph in this dataset comes out at 1.3814 eV per atom.

Cell and atoms, written as POSCAR:
```
RbGe3Se
1.0
-4.4710 0.7589 3.5323
-1.5698 -5.4699 -0.8118
3.2541 -1.5960 4.4617
Ge Se Rb
3 1 1
Direct
0.0000 0.5000 0.0000 Ge
0.0000 0.0000 0.5000 Ge
0.5000 0.0000 0.0000 Ge
0.5000 0.5000 0.5000 Se
0.0000 0.0000 0.0000 Rb
```